1.
DFT (PBE-GGA) results for a relaxed Tb3LuS crystal.

Cell lengths 5.3011, 5.3011, 5.3011 Å; angles 90.00, 90.00, 90.00 degrees
Space group Pm-3m (No. 221)
Symmetry-distinct sites (fractional):
1 Tb 0.0000 0.0000 0.5000
2 Lu 0.5000 0.5000 0.5000
3 S 0.0000 0.0000 0.0000

M_tot, μB per atom: 0.00
Fermi-level density of states, states/eV/cell: 6.9
Energy, eV/atom: -5.16
Crystal system: cubic

***

2.
DFT (PBE-GGA) results for a relaxed LuTeS2 crystal.

Cell lengths 3.8934, 3.8934, 24.6294 Å; angles 90.00, 90.00, 120.00 degrees
Space group R-3m (No. 166, hexagonal axes)
Symmetry-distinct sites (fractional):
1 Lu 0.0000 0.0000 0.0000
2 Te 0.0000 0.0000 0.5000
3 S 0.0000 0.0000 0.3920

M_tot, μB per atom: 0.00
Fermi-level density of states, states/eV/cell: 4.7
Energy, eV/atom: -5.13
Crystal system: trigonal

***

3.
DFT (PBE-GGA) results for a relaxed LuTeS crystal.

Cell lengths 3.4090, 3.4090, 14.2880 Å; angles 90.00, 90.00, 90.00 degrees
Space group I4mm (No. 107)
Symmetry-distinct sites (fractional):
1 Lu 0.0000 0.0000 0.0000
2 Te 0.0000 0.0000 0.6677
3 S 0.0000 0.0000 0.4191

M_tot, μB per atom: 0.00
Fermi-level density of states, states/eV/cell: 1.9
Energy, eV/atom: -5.15
Excess energy over the best structure of this formula in the dataset, meV/atom: 81
Crystal system: tetragonal